a | This record from Alexandria describes a geometry-optimized CsRe3Hg structure. The functional is PBE-GGA.

```
5
Lattice="5.1133 0.0000 0.0000 0.0000 5.1133 0.0000 0.0000 0.0000 5.1133" Properties=species:S:1:pos:R:3 pbc="T T T"
Cs 0.0000 0.0000 0.0000
Re 0.0000 2.5567 2.5567
Re 2.5567 0.0000 2.5567
Re 2.5567 2.5567 0.0000
Hg 2.5567 2.5567 2.5567
```


b | This record from Alexandria describes a geometry-optimized CsRe3Hg structure. The functional is PBE-GGA.

```
5
Lattice="4.9551 0.0000 0.0000 0.0000 4.9551 0.0000 0.0000 0.0000 4.9551" Properties=species:S:1:pos:R:3 pbc="T T T"
Cs 0.0000 0.0000 0.0000
Re 0.0000 0.0000 2.4775
Re 0.0000 2.4775 0.0000
Re 2.4775 0.0000 0.0000
Hg 2.4775 2.4775 2.4775
```


Most stable structure - a; separation to the second - 79.0 kJ/mol of atoms.


a | This record from Alexandria describes a geometry-optimized CsHg3Rh structure. The functional is PBE-GGA.

```
5
Lattice="6.8754 0.0000 0.0000 0.0000 6.8754 0.0000 0.0000 0.0000 6.8754" Properties=species:S:1:pos:R:3 pbc="T T T"
Cs 0.0000 0.0000 0.0000
Hg 0.0000 0.0000 3.4377
Hg 0.0000 3.4377 0.0000
Hg 3.4377 0.0000 0.0000
Rh 3.4377 3.4377 3.4377
```


b | This record from Alexandria describes a geometry-optimized CsHg3Rh structure. The functional is PBE-GGA.

```
5
Lattice="5.4038 0.0000 0.0000 0.0000 5.4038 0.0000 0.0000 0.0000 5.4038" Properties=species:S:1:pos:R:3 pbc="T T T"
Cs 0.0000 0.0000 0.0000
Hg 0.0000 2.7019 2.7019
Hg 2.7019 0.0000 2.7019
Hg 2.7019 2.7019 0.0000
Rh 2.7019 2.7019 2.7019
```


Most stable structure - b; separation to the second - 118.6 kJ/mol of atoms.


a | This record from Alexandria describes a geometry-optimized Cs2HgRu structure. The functional is PBE-GGA.

```
4
Lattice="0.0000 4.2398 4.2398 4.2398 0.0000 4.2398 4.2398 4.2398 0.0000" Properties=species:S:1:pos:R:3 pbc="T T T"
Cs 2.1199 2.1199 2.1199
Cs 6.3597 6.3597 6.3597
Hg 0.0000 0.0000 0.0000
Ru 4.2398 4.2398 4.2398
```


b | This record from Alexandria describes a geometry-optimized Cs2HgRu structure. The functional is PBE-GGA.

```
8
Lattice="-5.9440 5.9440 2.7042 5.9440 -5.9440 2.7042 5.9440 5.9440 -2.7042" Properties=species:S:1:pos:R:3 pbc="T T T"
Cs -0.2318 2.9720 0.6761
Cs 2.9720 5.7122 2.0282
Cs 0.2318 8.9160 0.6761
Cs -2.9720 6.1758 2.0282
Hg 5.9440 0.0000 1.3521
Hg 0.0000 0.0000 2.7042
Ru 0.0000 0.0000 0.0000
Ru 0.0000 5.9440 1.3521
```


Most stable structure - b; separation to the second - 27.7 kJ/mol of atoms.


a | This record from Alexandria describes a geometry-optimized Cs2HgS2 structure. The functional is PBE-GGA.

```
20
Lattice="9.5872 0.0000 0.0000 0.0000 7.0481 0.0000 0.0000 0.0000 13.9075" Properties=species:S:1:pos:R:3 pbc="T T T"
Cs 0.3598 1.7620 2.9813
Cs 1.4635 1.7620 8.2432
Cs 3.3301 5.2861 1.2895
Cs 4.4338 5.2861 9.9350
Cs 5.1534 1.7620 3.9724
Cs 6.2570 1.7620 12.6180
Cs 8.1237 5.2861 5.6642
Cs 9.2274 5.2861 10.9262
Hg 1.7640 1.7620 13.1474
Hg 3.0296 5.2861 6.1936
Hg 6.5576 1.7620 7.7138
Hg 7.8232 5.2861 0.7601
S 0.1355 1.7620 11.4877
S 1.4634 5.2861 7.9396
S 3.3302 1.7620 0.9859
S 4.6581 5.2861 4.5339
S 4.9291 1.7620 9.3735
S 6.2570 5.2861 12.9216
S 8.1238 1.7620 5.9679
S 9.4517 5.2861 2.4198
```


b | This record from Alexandria describes a geometry-optimized Cs2HgS2 structure. The functional is PBE-GGA.

```
10
Lattice="7.9391 0.0000 0.0000 0.0000 7.9391 0.0000 0.0000 0.0000 5.3895" Properties=species:S:1:pos:R:3 pbc="T T T"
Cs 1.2174 2.7521 0.0000
Cs 2.7521 6.7217 0.0000
Cs 5.1870 1.2174 0.0000
Cs 6.7217 5.1870 0.0000
Hg 0.0000 0.0000 2.6947
Hg 3.9696 3.9696 2.6947
S 1.3851 5.3546 2.6947
S 2.5845 1.3851 2.6947
S 5.3546 6.5540 2.6947
S 6.5540 2.5845 2.6947
```


c | This record from Alexandria describes a geometry-optimized Cs2HgS2 structure. The functional is PBE-GGA.

```
5
Lattice="-2.0300 2.0300 11.4100 2.0300 -2.0300 11.4100 2.0300 2.0300 -11.4100" Properties=species:S:1:pos:R:3 pbc="T T T"
Cs 0.0000 0.0000 3.0826
Cs 0.0000 0.0000 19.7375
Hg 0.0000 0.0000 11.4100
S 2.0300 0.0000 5.7050
S 0.0000 2.0300 5.7050
```


Most stable structure - a; separation to the second - 36.2 kJ/mol of atoms.


a | This record from Alexandria describes a geometry-optimized Cs2HgS2 structure. The functional is PBE-GGA.

```
10
Lattice="10.5211 0.0000 0.0000 0.0000 10.5211 0.0000 0.0000 0.0000 3.4754" Properties=species:S:1:pos:R:3 pbc="T T T"
Cs 1.5146 3.7460 0.0000
Cs 3.7460 9.0065 0.0000
Cs 6.7752 1.5146 0.0000
Cs 9.0065 6.7752 0.0000
Hg 0.0000 0.0000 0.0000
Hg 5.2606 5.2606 0.0000
S 1.5996 6.8601 1.7377
S 3.6610 1.5996 1.7377
S 6.8601 8.9216 1.7377
S 8.9216 3.6610 1.7377
```


b | This record from Alexandria describes a geometry-optimized Cs2HgS2 structure. The functional is PBE-GGA.

```
5
Lattice="5.2699 -3.0485 0.0000 5.2699 3.0485 0.0000 -3.5493 0.0000 8.4697" Properties=species:S:1:pos:R:3 pbc="T T T"
Cs 1.7733 0.0000 1.5673
Cs 5.2171 0.0000 6.9024
Hg -1.7746 0.0000 4.2348
S -1.8108 0.0000 6.5652
S 8.8013 0.0000 1.9045
```


Most stable structure - b; separation to the second - 56.9 kJ/mol of atoms.


a | This record from Alexandria describes a geometry-optimized CsHg2S2 structure. The functional is PBE-GGA.

```
10
Lattice="4.4504 -6.0741 0.0000 4.4504 6.0741 0.0000 -4.4283 0.0000 5.8917" Properties=species:S:1:pos:R:3 pbc="T T T"
Cs 1.1292 4.5503 4.4187
Cs 3.3433 -4.5503 1.4729
Hg -1.1006 1.5132 5.6865
Hg 1.1136 -1.5132 2.7407
Hg 3.3589 1.5132 3.1510
Hg 5.5731 -1.5132 0.2051
S 3.3433 3.8404 1.4729
S 1.1292 0.8041 4.4187
S 3.3433 -0.8041 1.4729
S 1.1292 -3.8404 4.4187
```


b | This record from Alexandria describes a geometry-optimized CsHg2S2 structure. The functional is PBE-GGA.

```
5
Lattice="-2.4400 2.4400 6.6429 2.4400 -2.4400 6.6429 2.4400 2.4400 -6.6429" Properties=species:S:1:pos:R:3 pbc="T T T"
Cs 0.0000 0.0000 0.0000
Hg 2.4400 0.0000 3.3214
Hg 0.0000 2.4400 3.3214
S 0.0000 0.0000 4.5998
S 0.0000 0.0000 8.6860
```


Most stable structure - a; separation to the second - 7.1 kJ/mol of atoms.


a | This record from Alexandria describes a geometry-optimized Cs2HgTeS structure. The functional is PBE-GGA.

```
5
Lattice="6.9127 0.0000 0.0000 0.0000 6.9127 0.0000 0.0000 0.0000 5.0015" Properties=species:S:1:pos:R:3 pbc="T T T"
Cs 0.0000 3.4564 0.0000
Cs 3.4564 0.0000 0.0000
Hg 0.0000 0.0000 2.5007
Te 3.4564 3.4564 2.5007
S 0.0000 0.0000 0.0000
```


b | This record from Alexandria describes a geometry-optimized Cs2HgTeS structure. The functional is PBE-GGA.

```
10
Lattice="8.7461 0.0000 0.0000 0.0000 4.7560 0.0000 -3.6739 0.0000 10.8920" Properties=species:S:1:pos:R:3 pbc="T T T"
Cs 0.1673 1.1890 4.2465
Cs -1.6755 1.1890 10.5038
Cs 6.7476 3.5670 0.3882
Cs 4.9048 3.5670 6.6455
Hg 3.3376 3.5670 2.7813
Hg 1.7345 1.1890 8.1107
Te 0.1983 3.5670 7.6118
Te 4.8738 1.1890 3.2802
S 1.0402 3.5670 1.9437
S 4.0319 1.1890 8.9483
```


Most stable structure - b; separation to the second - 22.8 kJ/mol of atoms.


a | This record from Alexandria describes a geometry-optimized CsHgSb3 structure. The functional is PBE-GGA.

```
10
Lattice="4.4947 2.5950 6.2894 -4.4947 2.5950 6.2894 0.0000 -5.1901 6.2894" Properties=species:S:1:pos:R:3 pbc="T T T"
Cs 0.0000 0.0000 4.2538
Cs 0.0000 0.0000 14.6144
Hg 0.0000 0.0000 7.9219
Hg 0.0000 0.0000 10.9463
Sb 0.0000 -2.9979 7.2051
Sb -2.5962 1.4989 7.2051
Sb -2.5962 -1.4989 11.6631
Sb 2.5962 1.4989 7.2051
Sb 2.5962 -1.4989 11.6631
Sb 0.0000 2.9979 11.6631
```


b | This record from Alexandria describes a geometry-optimized CsHgSb3 structure. The functional is PBE-GGA.

```
5
Lattice="6.3808 0.0000 0.0000 0.0000 6.3808 0.0000 0.0000 0.0000 6.3808" Properties=species:S:1:pos:R:3 pbc="T T T"
Cs 0.0000 0.0000 0.0000
Hg 3.1904 3.1904 3.1904
Sb 0.0000 0.0000 3.1904
Sb 0.0000 3.1904 0.0000
Sb 3.1904 0.0000 0.0000
```


c | This record from Alexandria describes a geometry-optimized CsHgSb3 structure. The functional is PBE-GGA.

```
5
Lattice="5.7714 0.0000 0.0000 0.0000 5.7714 0.0000 0.0000 0.0000 5.7714" Properties=species:S:1:pos:R:3 pbc="T T T"
Cs 0.0000 0.0000 0.0000
Hg 2.8857 2.8857 2.8857
Sb 0.0000 2.8857 2.8857
Sb 2.8857 0.0000 2.8857
Sb 2.8857 2.8857 0.0000
```


Most stable structure - a; separation to the second - 38.0 kJ/mol of atoms.


a | This record from Alexandria describes a geometry-optimized Cs2Hg7Sb structure. The functional is PBE-GGA.

```
10
Lattice="0.0000 5.8984 5.8984 5.8984 0.0000 5.8984 5.8984 5.8984 0.0000" Properties=species:S:1:pos:R:3 pbc="T T T"
Cs 2.9492 2.9492 2.9492
Cs 8.8476 8.8476 8.8476
Hg 0.0000 0.0000 0.0000
Hg 5.8984 5.8984 2.9030
Hg 5.8984 2.9030 5.8984
Hg 8.8937 5.8984 5.8984
Hg 2.9030 5.8984 5.8984
Hg 5.8984 8.8937 5.8984
Hg 5.8984 5.8984 8.8937
Sb 5.8984 5.8984 5.8984
```


b | This record from Alexandria describes a geometry-optimized Cs2Hg7Sb structure. The functional is PBE-GGA.

```
10
Lattice="5.4154 0.0000 0.0000 0.0000 5.4154 0.0000 0.0000 0.0000 12.0320" Properties=species:S:1:pos:R:3 pbc="T T T"
Cs 0.0000 2.7077 2.9894
Cs 2.7077 0.0000 9.0426
Hg 0.0000 0.0000 0.0000
Hg 0.0000 0.0000 6.0160
Hg 0.0000 2.7077 7.5676
Hg 0.0000 2.7077 10.5627
Hg 2.7077 0.0000 1.4693
Hg 2.7077 0.0000 4.4644
Hg 2.7077 2.7077 6.0160
Sb 2.7077 2.7077 0.0000
```


Most stable structure - b; separation to the second - 9.5 kJ/mol of atoms.


a | This record from Alexandria describes a geometry-optimized Cs2Hg2Sb structure. The functional is PBE-GGA.

```
10
Lattice="10.6746 0.0000 0.0000 0.0000 10.6746 0.0000 0.0000 0.0000 3.9301" Properties=species:S:1:pos:R:3 pbc="T T T"
Cs 1.9848 3.3525 0.0000
Cs 3.3525 8.6898 0.0000
Cs 7.3221 1.9848 0.0000
Cs 8.6898 7.3221 0.0000
Hg 1.1556 6.4929 1.9651
Hg 4.1817 1.1556 1.9651
Hg 6.4929 9.5190 1.9651
Hg 9.5190 4.1817 1.9651
Sb 0.0000 0.0000 0.0000
Sb 5.3373 5.3373 0.0000
```


b | This record from Alexandria describes a geometry-optimized Cs2Hg2Sb structure. The functional is PBE-GGA.

```
5
Lattice="-3.7102 3.7102 4.4073 3.7102 -3.7102 4.4073 3.7102 3.7102 -4.4073" Properties=species:S:1:pos:R:3 pbc="T T T"
Cs 3.7102 0.0000 2.2036
Cs 0.0000 3.7102 2.2036
Hg 0.0000 0.0000 1.4918
Hg 0.0000 0.0000 7.3227
Sb 0.0000 0.0000 4.4073
```


c | This record from Alexandria describes a geometry-optimized Cs2Hg2Sb structure. The functional is PBE-GGA.

```
10
Lattice="8.3731 0.0000 0.0000 0.0000 8.3731 0.0000 0.0000 0.0000 5.8034" Properties=species:S:1:pos:R:3 pbc="T T T"
Cs 1.4926 2.6940 0.0000
Cs 2.6940 6.8806 0.0000
Cs 5.6791 1.4926 0.0000
Cs 6.8806 5.6791 0.0000
Hg 1.1234 5.3099 2.9017
Hg 3.0632 1.1234 2.9017
Hg 5.3099 7.2497 2.9017
Hg 7.2497 3.0632 2.9017
Sb 0.0000 0.0000 2.9017
Sb 4.1866 4.1866 2.9017
```


Most stable structure - b; separation to the second - 2.4 kJ/mol of atoms.


a | This record from Alexandria describes a geometry-optimized CsHg4Sb structure. The functional is PBE-GGA.

```
6
Lattice="0.0000 4.5747 4.5747 4.5747 0.0000 4.5747 4.5747 4.5747 0.0000" Properties=species:S:1:pos:R:3 pbc="T T T"
Cs 0.0000 0.0000 0.0000
Hg 3.4403 3.4403 3.4403
Hg 5.7092 5.7092 3.4403
Hg 5.7092 3.4403 5.7092
Hg 3.4403 5.7092 5.7092
Sb 6.8621 6.8621 6.8621
```


b | This record from Alexandria describes a geometry-optimized CsHg4Sb structure. The functional is PBE-GGA.

```
12
Lattice="2.9804 -7.6579 0.0000 2.9804 7.6579 0.0000 0.0000 0.0000 9.6305" Properties=species:S:1:pos:R:3 pbc="T T T"
Cs 2.9804 5.9566 7.2229
Cs 2.9804 -5.9566 2.4076
Hg 2.9804 5.5991 2.4076
Hg 2.9804 3.2758 0.4202
Hg 2.9804 3.2758 4.3950
Hg 2.9804 0.0000 0.0000
Hg 2.9804 0.0000 4.8153
Hg 2.9804 -3.2758 5.2355
Hg 2.9804 -3.2758 9.2103
Hg 2.9804 -5.5991 7.2229
Sb 2.9804 1.5900 7.2229
Sb 2.9804 -1.5900 2.4076
```


Most stable structure - b; separation to the second - 12.5 kJ/mol of atoms.